(1)
Below is a geometry-optimized Nd2PaV2N7 structure, with properties calculated at the PBE-GGA level.

Values from the calculation:
E_form (uncorrected) = -1.108 eV/atom
space group = C2/m, No. 12
calculated total energy = -9.0701 eV/atom

Structure (CIF):
```
data_Nd2PaV2N7
_cell_length_a 3.8302
_cell_length_b 3.8302
_cell_length_c 10.3737
_cell_angle_alpha 100.01
_cell_angle_beta 100.01
_cell_angle_gamma 89.73
_symmetry_space_group_name_H-M 'P 1'
_symmetry_Int_Tables_number 1
_symmetry_space_group_name_Hall 'P 1'
loop_
_atom_site_label
_atom_site_fract_x
_atom_site_fract_y
_atom_site_fract_z
_atom_site_occupancy
Nd1 0.2011 0.2011 0.3675 1
Nd2 0.7989 0.7989 0.6325 1
Pa1 0.0000 0.0000 0.0000 1
V1 0.3728 0.3728 0.8039 1
V2 0.6272 0.6272 0.1961 1
N1 0.0860 0.5788 0.1764 1
N2 0.3174 0.3174 0.6089 1
N3 0.4212 0.9140 0.8236 1
N4 0.5000 0.5000 0.0000 1
N5 0.5788 0.0860 0.1764 1
N6 0.6826 0.6826 0.3911 1
N7 0.9140 0.4212 0.8236 1
```

(2)
Below is a geometry-optimized Pr4HoTh structure, with properties calculated at the PBE-GGA level.

Values from the calculation:
ΔE to the lowest computed polymorph = 0.00 eV per formula unit
space group = P-1, No. 2
formation enthalpy at 0 K = 0.04 eV per atom
calculated total energy = -5.1424 eV/atom

Structure (CIF):
```
data_Pr4HoTh
_cell_length_a 3.6505
_cell_length_b 6.3408
_cell_length_c 9.6838
_cell_angle_alpha 77.18
_cell_angle_beta 79.26
_cell_angle_gamma 73.73
_symmetry_space_group_name_H-M 'P 1'
_symmetry_Int_Tables_number 1
_symmetry_space_group_name_Hall 'P 1'
loop_
_atom_site_label
_atom_site_fract_x
_atom_site_fract_y
_atom_site_fract_z
_atom_site_occupancy
Pr1 0.1620 0.0059 0.1712 1
Pr2 0.1640 0.5064 0.6646 1
Pr3 0.8360 0.4936 0.3354 1
Pr4 0.8380 0.9941 0.8288 1
Ho1 0.5000 0.5000 0.0000 1
Th1 0.5000 0.0000 0.5000 1
```

(3)
Below is a geometry-optimized Pr7YEr2 structure, with properties calculated at the PBE-GGA level.

Values from the calculation:
space group = Cmmm, No. 65
formation enthalpy at 0 K = 0.63 eV per atom
calculated total energy = -4.2796 eV/atom

Structure (CIF):
```
data_Pr7YEr2
_cell_length_a 9.3935
_cell_length_b 9.3935
_cell_length_c 5.7311
_cell_angle_alpha 90.00
_cell_angle_beta 90.00
_cell_angle_gamma 123.14
_symmetry_space_group_name_H-M 'P 1'
_symmetry_Int_Tables_number 1
_symmetry_space_group_name_Hall 'P 1'
loop_
_atom_site_label
_atom_site_fract_x
_atom_site_fract_y
_atom_site_fract_z
_atom_site_occupancy
Pr1 0.0000 0.0000 0.0000 1
Pr2 0.2064 0.4341 0.0000 1
Pr3 0.2770 0.7230 0.5000 1
Pr4 0.4341 0.2064 0.0000 1
Pr5 0.5659 0.7936 0.0000 1
Pr6 0.7230 0.2770 0.5000 1
Pr7 0.7936 0.5659 0.0000 1
Y1 0.5000 0.5000 0.5000 1
Er1 0.2052 0.7948 0.0000 1
Er2 0.7948 0.2052 0.0000 1
```

(4)
Below is a geometry-optimized BaCuRu2 structure, with properties calculated at the PBE-GGA level.

Values from the calculation:
ΔE to the lowest computed polymorph = 1.43 eV per formula unit
space group = Pm, No. 6
formation enthalpy at 0 K = 0.56 eV per atom
calculated total energy = -5.5816 eV/atom

Structure (CIF):
```
data_BaCuRu2
_cell_length_a 2.9877
_cell_length_b 4.0431
_cell_length_c 6.9020
_cell_angle_alpha 90.00
_cell_angle_beta 101.02
_cell_angle_gamma 90.00
_symmetry_space_group_name_H-M 'P 1'
_symmetry_Int_Tables_number 1
_symmetry_space_group_name_Hall 'P 1'
loop_
_atom_site_label
_atom_site_fract_x
_atom_site_fract_y
_atom_site_fract_z
_atom_site_occupancy
Ba1 0.0000 0.0000 0.0000 1
Cu1 0.6485 0.5000 0.3052 1
Ru1 0.2900 0.5000 0.6346 1
Ru2 0.6930 0.0000 0.5209 1
```

(5)
Below is a geometry-optimized Tb5CePr2 structure, with properties calculated at the PBE-GGA level.

Values from the calculation:
space group = I4/mmm, No. 139
formation enthalpy at 0 K = 0.05 eV per atom
calculated total energy = -4.7843 eV/atom

Structure (CIF):
```
data_Tb5CePr2
_cell_length_a 5.0959
_cell_length_b 5.0959
_cell_length_c 20.2472
_cell_angle_alpha 90.00
_cell_angle_beta 90.00
_cell_angle_gamma 90.00
_symmetry_space_group_name_H-M 'P 1'
_symmetry_Int_Tables_number 1
_symmetry_space_group_name_Hall 'P 1'
loop_
_atom_site_label
_atom_site_fract_x
_atom_site_fract_y
_atom_site_fract_z
_atom_site_occupancy
Tb1 0.0000 0.0000 0.0000 1
Tb2 0.0000 0.5000 0.1214 1
Tb3 0.0000 0.5000 0.3786 1
Tb4 0.0000 0.5000 0.6214 1
Tb5 0.0000 0.5000 0.8786 1
Tb6 0.5000 0.0000 0.1214 1
Tb7 0.5000 0.0000 0.3786 1
Tb8 0.5000 0.0000 0.6214 1
Tb9 0.5000 0.0000 0.8786 1
Tb10 0.5000 0.5000 0.5000 1
Ce1 0.0000 0.0000 0.5000 1
Ce2 0.5000 0.5000 0.0000 1
Pr1 0.0000 0.0000 0.2520 1
Pr2 0.0000 0.0000 0.7480 1
Pr3 0.5000 0.5000 0.2480 1
Pr4 0.5000 0.5000 0.7520 1
```

(6)
Below is a geometry-optimized Zr3AuI structure, with properties calculated at the PBE-GGA level.

Values from the calculation:
E_form (uncorrected) = 0.581 eV/atom
ΔE to the lowest computed polymorph = 0.00 eV per formula unit
space group = Pm-3m, No. 221
calculated total energy = -5.5135 eV/atom

Structure (CIF):
```
data_Zr3AuI
_cell_length_a 5.2649
_cell_length_b 5.2649
_cell_length_c 5.2649
_cell_angle_alpha 90.00
_cell_angle_beta 90.00
_cell_angle_gamma 90.00
_symmetry_space_group_name_H-M 'P 1'
_symmetry_Int_Tables_number 1
_symmetry_space_group_name_Hall 'P 1'
loop_
_atom_site_label
_atom_site_fract_x
_atom_site_fract_y
_atom_site_fract_z
_atom_site_occupancy
Zr1 0.0000 0.0000 0.5000 1
Zr2 0.0000 0.5000 0.0000 1
Zr3 0.5000 0.0000 0.0000 1
Au1 0.0000 0.0000 0.0000 1
I1 0.5000 0.5000 0.5000 1
```

(7)
Below is a geometry-optimized LiLa2W structure, with properties calculated at the PBE-GGA level.

Values from the calculation:
ΔE to the lowest computed polymorph = 0.46 eV per formula unit
space group = C2/m, No. 12
formation enthalpy at 0 K = 0.53 eV per atom
calculated total energy = -5.6537 eV/atom

Structure (CIF):
```
data_LiLa2W
_cell_length_a 7.3395
_cell_length_b 7.3454
_cell_length_c 3.7322
_cell_angle_alpha 90.00
_cell_angle_beta 90.16
_cell_angle_gamma 90.00
_symmetry_space_group_name_H-M 'P 1'
_symmetry_Int_Tables_number 1
_symmetry_space_group_name_Hall 'P 1'
loop_
_atom_site_label
_atom_site_fract_x
_atom_site_fract_y
_atom_site_fract_z
_atom_site_occupancy
Li1 0.0000 0.0000 0.0000 1
Li2 0.5000 0.5000 0.0000 1
La1 0.2500 0.2500 0.5000 1
La2 0.2500 0.7500 0.5000 1
La3 0.7500 0.2500 0.5000 1
La4 0.7500 0.7500 0.5000 1
W1 0.0000 0.5000 0.0000 1
W2 0.5000 0.0000 0.0000 1
```

(8)
Below is a geometry-optimized CeAgHg3 structure, with properties calculated at the PBE-GGA level.

Values from the calculation:
ΔE to the lowest computed polymorph = 0.00 eV per formula unit
space group = Pm-3m, No. 221
formation enthalpy at 0 K = -0.24 eV per atom
calculated total energy = -2.1813 eV/atom

Structure (CIF):
```
data_CeAgHg3
_cell_length_a 7.1522
_cell_length_b 7.1522
_cell_length_c 7.1522
_cell_angle_alpha 90.00
_cell_angle_beta 90.00
_cell_angle_gamma 90.00
_symmetry_space_group_name_H-M 'P 1'
_symmetry_Int_Tables_number 1
_symmetry_space_group_name_Hall 'P 1'
loop_
_atom_site_label
_atom_site_fract_x
_atom_site_fract_y
_atom_site_fract_z
_atom_site_occupancy
Ce1 0.0000 0.0000 0.5000 1
Ce2 0.0000 0.5000 0.0000 1
Ce3 0.5000 0.0000 0.0000 1
Ag1 0.0000 0.5000 0.5000 1
Ag2 0.5000 0.0000 0.5000 1
Ag3 0.5000 0.5000 0.0000 1
Hg1 0.0000 0.0000 0.0000 1
Hg2 0.2777 0.2777 0.2777 1
Hg3 0.2777 0.2777 0.7223 1
Hg4 0.2777 0.7223 0.2777 1
Hg5 0.2777 0.7223 0.7223 1
Hg6 0.7223 0.2777 0.2777 1
Hg7 0.7223 0.2777 0.7223 1
Hg8 0.7223 0.7223 0.2777 1
Hg9 0.7223 0.7223 0.7223 1
```

(9)
Below is a geometry-optimized Pm3Tm2Tl structure, with properties calculated at the PBE-GGA level.

Values from the calculation:
ΔE to the lowest computed polymorph = 0.00 eV per formula unit
space group = Cmmm, No. 65
formation enthalpy at 0 K = -0.11 eV per atom
calculated total energy = -4.3694 eV/atom

Structure (CIF):
```
data_Pm3Tm2Tl
_cell_length_a 4.9703
_cell_length_b 15.1839
_cell_length_c 4.8796
_cell_angle_alpha 90.00
_cell_angle_beta 90.00
_cell_angle_gamma 90.00
_symmetry_space_group_name_H-M 'P 1'
_symmetry_Int_Tables_number 1
_symmetry_space_group_name_Hall 'P 1'
loop_
_atom_site_label
_atom_site_fract_x
_atom_site_fract_y
_atom_site_fract_z
_atom_site_occupancy
Pm1 0.0000 0.0000 0.0000 1
Pm2 0.0000 0.3294 0.0000 1
Pm3 0.0000 0.6706 0.0000 1
Pm4 0.5000 0.1706 0.0000 1
Pm5 0.5000 0.5000 0.0000 1
Pm6 0.5000 0.8294 0.0000 1
Tm1 0.0000 0.1639 0.5000 1
Tm2 0.0000 0.8361 0.5000 1
Tm3 0.5000 0.3361 0.5000 1
Tm4 0.5000 0.6639 0.5000 1
Tl1 0.0000 0.5000 0.5000 1
Tl2 0.5000 0.0000 0.5000 1
```

(10)
Below is a geometry-optimized B5C7 structure, with properties calculated at the PBE-GGA level.

Values from the calculation:
ΔE to the lowest computed polymorph = 1.84 eV per formula unit
space group = P3m1, No. 156
formation enthalpy at 0 K = 0.41 eV per atom
calculated total energy = -7.7515 eV/atom

Structure (CIF):
```
data_B5C7
_cell_length_a 2.6199
_cell_length_b 2.6199
_cell_length_c 14.2892
_cell_angle_alpha 90.00
_cell_angle_beta 90.00
_cell_angle_gamma 120.00
_symmetry_space_group_name_H-M 'P 1'
_symmetry_Int_Tables_number 1
_symmetry_space_group_name_Hall 'P 1'
loop_
_atom_site_label
_atom_site_fract_x
_atom_site_fract_y
_atom_site_fract_z
_atom_site_occupancy
B1 0.0000 0.0000 0.0000 1
B2 0.0000 0.0000 0.1225 1
B3 0.0000 0.0000 0.6293 1
B4 0.3333 0.6667 0.3477 1
B5 0.6667 0.3333 0.9301 1
C1 0.0000 0.0000 0.5158 1
C2 0.3333 0.6667 0.1250 1
C3 0.3333 0.6667 0.6765 1
C4 0.3333 0.6667 0.7815 1
C5 0.6667 0.3333 0.3641 1
C6 0.6667 0.3333 0.4807 1
C7 0.6667 0.3333 0.8197 1
```

(11)
Below is a geometry-optimized CaTlO3 structure, with properties calculated at the PBE-GGA level.

Values from the calculation:
E_form (uncorrected) = -0.703 eV/atom
space group = Pm-3m, No. 221
calculated total energy = -4.5512 eV/atom

Structure (CIF):
```
data_CaTlO3
_cell_length_a 4.4136
_cell_length_b 4.4136
_cell_length_c 4.4136
_cell_angle_alpha 90.00
_cell_angle_beta 90.00
_cell_angle_gamma 90.00
_symmetry_space_group_name_H-M 'P 1'
_symmetry_Int_Tables_number 1
_symmetry_space_group_name_Hall 'P 1'
loop_
_atom_site_label
_atom_site_fract_x
_atom_site_fract_y
_atom_site_fract_z
_atom_site_occupancy
Ca1 0.0000 0.0000 0.0000 1
Tl1 0.5000 0.5000 0.5000 1
O1 0.0000 0.0000 0.5000 1
O2 0.0000 0.5000 0.0000 1
O3 0.5000 0.0000 0.0000 1
```

(12)
Below is a geometry-optimized ErAg3Se3 structure, with properties calculated at the PBE-GGA level.

Values from the calculation:
E_form (uncorrected) = -0.699 eV/atom
space group = R-3, No. 148
calculated total energy = -4.0660 eV/atom

Structure (CIF):
```
data_ErAg3Se3
_cell_length_a 8.1539
_cell_length_b 8.1539
_cell_length_c 8.1539
_cell_angle_alpha 54.62
_cell_angle_beta 54.62
_cell_angle_gamma 54.62
_symmetry_space_group_name_H-M 'P 1'
_symmetry_Int_Tables_number 1
_symmetry_space_group_name_Hall 'P 1'
loop_
_atom_site_label
_atom_site_fract_x
_atom_site_fract_y
_atom_site_fract_z
_atom_site_occupancy
Er1 0.1667 0.1667 0.1667 1
Er2 0.8333 0.8333 0.8333 1
Ag1 0.0278 0.3770 0.7133 1
Ag2 0.2867 0.9722 0.6230 1
Ag3 0.3770 0.7133 0.0278 1
Ag4 0.6230 0.2867 0.9722 1
Ag5 0.7133 0.0278 0.3770 1
Ag6 0.9722 0.6230 0.2867 1
Se1 0.0907 0.7657 0.4295 1
Se2 0.2343 0.5705 0.9093 1
Se3 0.4295 0.0907 0.7657 1
Se4 0.5705 0.9093 0.2343 1
Se5 0.7657 0.4295 0.0907 1
Se6 0.9093 0.2343 0.5705 1
```